Compound: TbVSO2
Source: Alexandria via LeMat-Bulk
Functional: PBE with a Hubbard U
Structure: relaxed

- total magnetic moment (μB per atom) = 0.400
- SG = No. 99
- uncorrected energy (eV/atom) = -7.550

CIF file:
```
data_TbVSO2
_symmetry_space_group_name_H-M 'P 1'
_symmetry_Int_Tables_number 1
_cell_length_a 3.873
_cell_length_b 3.873
_cell_length_c 5.408
_cell_angle_alpha 90.00
_cell_angle_beta 90.00
_cell_angle_gamma 90.00
loop_
_symmetry_equiv_pos_as_xyz
'x,y,z'
loop_
_atom_site_label
_atom_site_type_symbol
_atom_site_fract_x
_atom_site_fract_y
_atom_site_fract_z
_atom_site_occupancy
Tb1 Tb 0.000 0.000 0.000 1
V1 V 0.500 0.500 0.326 1
S1 S 0.500 0.500 0.780 1
O1 O 0.000 0.500 0.245 1
O2 O 0.500 0.000 0.245 1
```